Below is an optimized crystal structure of Er4AgHgRu2, with properties calculated at the PBE level.

a = 8.561 Å, b = 8.561 Å, c = 8.561 Å
α = 33.65°, β = 33.65°, γ = 33.65°
Fractional positions:
Er 0.123 0.123 0.123
Er 0.373 0.373 0.373
Er 0.627 0.627 0.627
Er 0.877 0.877 0.877
Ag 0.000 0.000 0.000
Hg 0.500 0.500 0.500
Ru 0.250 0.250 0.250
Ru 0.750 0.750 0.750

Results
DOS at the Fermi energy, states/eV/f.u.: 5.48
Electronic total energy, eV/cell: -43.04